Entry from the Alexandria database: a geometry-optimized KZrSN2 structure (GGA-PBE).

Properties
**Fermi-level density of states**: 0.6515 states/eV per atom
**Uncorrected formation energy**: 44.127 kcal/mol of atoms
**Electronic total energy**: -0.3066 Ry/atom
**Offset from the most stable computed form**: 2056 meV/atom

Unit cell a=4.090 b=4.090 c=5.204 alpha=90.00 beta=90.00 gamma=90.00
Each line ends with the local moment (μB).
Element x y z (fractional)
K  0.000  0.000  0.000  0.03
S  0.000  0.000  0.500  0.05
Zr  0.500  0.500  0.500  -0.20
N  0.000  0.500  0.000  0.28
N  0.500  0.000  0.000  0.28